1.
Below is a relaxed LiNiI crystal, with properties calculated at the GGA-PBE level.

Properties
Its energy above the lowest structure with this stoichiometry is 65 meV/atom. The uncorrected formation energy is -199.6 meV/atom. The space-group type is Cm (8). For the total energy, the calculation gives -3.28 eV per atom.

Geometry as POSCAR:
```
LiNiI
1.0
-6.1230 -5.5886 -1.2182
-0.7239 -0.9648 -4.0713
3.9112 -1.4786 -0.7393
I Ni Li
2 2 2
direct
0.5638 0.7698 0.2302
0.0480 0.8121 0.1879
0.3659 0.8563 0.5666
0.3659 0.4334 0.1437
0.1062 0.2373 0.7627
0.6106 0.1925 0.8075
```

***

2.
Below is a relaxed LiYCd2Ag crystal, with properties calculated at the GGA-PBE level.

Properties
The space-group type is P4/mmm (123). For the formation energy, the calculation gives 0.091 eV per atom. For the total energy, the calculation gives -2.52 eV per atom.

Geometry as POSCAR:
```
LiYCd2Ag
1.0
5.2346 0.0000 0.0000
0.0000 4.5638 0.0000
0.0000 0.0000 5.2346
Y Li Ag Cd
1 1 1 2
direct
0.5000 0.5000 0.5000
0.0000 0.5000 0.0000
0.0000 0.0000 0.0000
0.0000 0.0000 0.5000
0.5000 0.0000 0.0000
```

***

3.
Below is a relaxed FeSiTc2 crystal, with properties calculated at the GGA-PBE level.

Properties
The uncorrected formation energy is -90.5 meV/atom. The space-group type is I4/mmm (139). For the total energy, the calculation gives -8.74 eV per atom.

Geometry as POSCAR:
```
FeSiTc2
1.0
-3.3206 -0.5018 3.2311
-2.9089 -3.5162 -0.9451
4.6404 0.3928 0.1740
Fe Si Tc
1 1 2
direct
0.2500 0.7500 0.5000
0.7500 0.2500 0.5000
0.0000 0.0000 0.0000
0.5000 0.5000 0.0000
```

***

4.
Below is a relaxed RbGa2CuBr8 crystal, with properties calculated at the GGA-PBE level.

Properties
The uncorrected formation energy is -886.4 meV/atom. The space-group type is P-3 (147). For the total energy, the calculation gives -2.93 eV per atom.

Geometry as POSCAR:
```
RbGa2CuBr8
1.0
-3.8186 -0.2753 5.6931
5.7162 -3.7632 -0.4817
5.1657 7.3574 3.8206
Rb Ga Cu Br
1 2 1 8
direct
0.0000 0.0000 0.0000
0.6667 0.3333 0.2616
0.3333 0.6667 0.7383
0.0000 0.0000 0.5000
0.3333 0.6667 0.9809
0.3219 0.3061 0.3341
0.6939 0.0158 0.3341
0.6667 0.3333 0.0191
0.3061 0.9842 0.6659
0.6781 0.6939 0.6659
0.0158 0.3219 0.6659
0.9842 0.6781 0.3341
```

***

5.
Below is a relaxed CsOsN2F crystal, with properties calculated at the GGA-PBE level.

Properties
Its energy above the lowest structure with this stoichiometry is 0 meV/atom. The uncorrected formation energy is -187.6 meV/atom. The space-group type is P4/mmm (123). For the total energy, the calculation gives -6.31 eV per atom.

Geometry as POSCAR:
```
CsOsN2F
1.0
3.8533 0.0000 0.0000
0.0000 3.8533 0.0000
0.0000 0.0000 5.6400
Cs N Os F
1 2 1 1
direct
0.5000 0.5000 0.5000
0.0000 0.5000 0.0000
0.5000 0.0000 0.0000
0.0000 0.0000 0.0000
0.0000 0.0000 0.5000
```

***

6.
Below is a relaxed Pu2Te2Cl crystal, with properties calculated at the GGA-PBE level.

Properties
Its energy above the lowest structure with this stoichiometry is 18 meV/atom. The uncorrected formation energy is -1240.3 meV/atom. The space-group type is Cmc2_1 (36). For the total energy, the calculation gives -8.60 eV per atom.

Geometry as POSCAR:
```
Pu2Te2Cl
1.0
-0.8469 -2.9607 -3.1210
7.8043 -0.6015 -1.5471
1.1054 -4.9943 7.5176
Pu Te Cl
4 4 2
direct
0.4447 0.4353 0.8894
0.8148 0.9897 0.6296
0.1852 0.4897 0.3704
0.5553 0.9353 0.1106
0.9526 0.7358 0.9052
0.8036 0.3904 0.6073
0.1964 0.8904 0.3927
0.0474 0.2358 0.0948
0.4016 0.0831 0.8032
0.5984 0.5831 0.1968
```

***

7.
Below is a relaxed CeEuCdBi crystal, with properties calculated at the GGA-PBE level.

Properties
The space-group type is F-43m (216). For the formation energy, the calculation gives -0.448 eV per atom. For the total energy, the calculation gives -5.70 eV per atom.

Geometry as POSCAR:
```
CeEuCdBi
1.0
-5.1007 2.0990 0.7907
-4.3444 -3.4205 0.6884
-2.4463 -0.4276 4.9881
Eu Bi Ce Cd
1 1 1 1
direct
0.5000 0.5000 0.5000
0.7500 0.7500 0.7500
0.0000 0.0000 0.0000
0.2500 0.2500 0.2500
```

***

8.
Below is a relaxed CdTe3O crystal, with properties calculated at the GGA-PBE level.

Properties
Its energy above the lowest structure with this stoichiometry is 1018 meV/atom. The uncorrected formation energy is 1146.8 meV/atom. The space-group type is Pm-3m (221). For the total energy, the calculation gives -1.91 eV per atom.

Geometry as POSCAR:
```
CdTe3O
1.0
-0.5511 -5.3087 1.3668
5.0303 -1.0357 -1.9945
2.1788 1.0484 4.9506
Te O Cd
3 1 1
direct
0.0000 0.5000 0.0000
0.0000 0.0000 0.5000
0.5000 0.0000 0.0000
0.5000 0.5000 0.5000
0.0000 0.0000 0.0000
```

***

9.
Below is a relaxed Ta2InBr crystal, with properties calculated at the GGA-PBE level.

Properties
Its energy above the lowest structure with this stoichiometry is 509 meV/atom. The uncorrected formation energy is 579.4 meV/atom. The space-group type is Pmmm (47). For the total energy, the calculation gives -6.45 eV per atom.

Geometry as POSCAR:
```
Ta2InBr
1.0
-1.2083 -4.2992 -0.2223
2.5565 -0.7915 1.4128
-2.7485 0.5006 5.2576
In Br Ta
1 1 2
direct
0.5000 0.7500 0.7500
0.5000 0.2500 0.2500
0.0000 0.2498 0.9978
0.0000 0.2502 0.5022
```

***

10.
Below is a relaxed Al2HAu2 crystal, with properties calculated at the GGA-PBE level.

Properties
Its energy above the lowest structure with this stoichiometry is 168 meV/atom. The space-group type is P4/mbm (127). For the total energy, the calculation gives -3.35 eV per atom.

Geometry as POSCAR:
```
Al2HAu2
1.0
-3.4215 -6.0748 3.0911
4.8056 0.3028 5.9144
-1.8126 1.7253 1.3844
H Au Al
2 4 4
direct
0.0000 0.0000 0.0000
0.5000 0.5000 0.0000
0.3273 0.8273 0.0000
0.8273 0.6727 0.0000
0.6727 0.1727 0.0000
0.1727 0.3273 0.0000
0.1284 0.6284 0.5000
0.6284 0.8716 0.5000
0.8716 0.3716 0.5000
0.3716 0.1284 0.5000
```

***

11.
Below is a relaxed La5Zn4Au crystal, with properties calculated at the GGA-PBE level.

Properties
The space-group type is P4/mmm (123). For the formation energy, the calculation gives -0.408 eV per atom. For the total energy, the calculation gives -3.71 eV per atom.

Geometry as POSCAR:
```
La5Zn4Au
1.0
3.7868 0.0000 0.0000
0.0000 3.7868 0.0000
0.0000 0.0000 18.6341
La Zn Au
5 4 1
direct
0.5000 0.5000 0.1007
0.5000 0.5000 0.2993
0.5000 0.5000 0.5000
0.5000 0.5000 0.7007
0.5000 0.5000 0.8993
0.0000 0.0000 0.2037
0.0000 0.0000 0.3993
0.0000 0.0000 0.6007
0.0000 0.0000 0.7963
0.0000 0.0000 0.0000
```

***

12.
Below is a relaxed AcLa3Sn12 crystal, with properties calculated at the GGA-PBE level.

Properties
The space-group type is P4/mmm (123). For the formation energy, the calculation gives -0.560 eV per atom. For the total energy, the calculation gives -4.74 eV per atom.

Geometry as POSCAR:
```
AcLa3Sn12
1.0
4.8330 0.0000 0.0000
0.0000 4.8330 0.0000
0.0000 0.0000 19.3335
Ac La Sn
1 3 12
direct
0.0000 0.0000 0.0000
0.0000 0.0000 0.2537
0.0000 0.0000 0.5000
0.0000 0.0000 0.7463
0.5000 0.5000 0.0000
0.5000 0.5000 0.2538
0.5000 0.5000 0.5000
0.5000 0.5000 0.7462
0.5000 0.0000 0.1294
0.5000 0.0000 0.3769
0.5000 0.0000 0.6231
0.5000 0.0000 0.8706
0.0000 0.5000 0.1294
0.0000 0.5000 0.3769
0.0000 0.5000 0.6231
0.0000 0.5000 0.8706
```

***

13.
Below is a relaxed CeDy3Tm3Se8 crystal, with properties calculated at the GGA-PBE level.

Properties
The uncorrected formation energy is -1778.3 meV/atom. The space-group type is R-3m (166). For the total energy, the calculation gives -5.85 eV per atom.

Geometry as POSCAR:
```
CeDy3Tm3Se8
1.0
8.0979 0.0000 0.0000
-4.0490 7.0134 -0.0238
0.0000 -4.6527 6.6112
Ce Dy Tm Se
1 3 3 8
direct
0.0000 0.0000 0.5000
0.0000 0.0000 0.0000
0.0000 0.5000 0.0000
0.5000 0.5000 0.0000
0.5000 0.0000 0.5000
0.5000 0.5000 0.5000
0.0000 0.5000 0.5000
0.2515 0.5031 0.2550
0.7485 0.4969 0.7450
0.7395 0.4789 0.2433
0.2605 0.5211 0.7567
0.7398 0.0038 0.2433
0.2602 0.9962 0.7567
0.2641 0.0038 0.2433
0.7359 0.9962 0.7567
```

***

14.
Below is a relaxed MgNpOsRu crystal, with properties calculated at the GGA-PBE level.

Properties
The space-group type is F-43m (216). For the formation energy, the calculation gives 0.005 eV per atom. For the total energy, the calculation gives -8.76 eV per atom.

Geometry as POSCAR:
```
MgNpOsRu
1.0
-2.3094 3.9324 0.5905
-4.5922 0.0274 -0.2380
-2.4957 0.6513 3.8069
Np Ru Mg Os
1 1 1 1
direct
0.5000 0.5000 0.5000
0.7500 0.7500 0.7500
0.0000 0.0000 0.0000
0.2500 0.2500 0.2500
```

***

15.
Below is a relaxed CoSi2Au crystal, with properties calculated at the GGA-PBE level.

Properties
Its energy above the lowest structure with this stoichiometry is 108 meV/atom. The uncorrected formation energy is -14.6 meV/atom. The space-group type is C2/m (12). For the total energy, the calculation gives -5.32 eV per atom.

Geometry as POSCAR:
```
CoSi2Au
1.0
-1.3789 -3.6774 1.2045
0.4530 -3.8587 -1.3346
3.7266 -1.2976 2.7813
Au Co Si
1 1 2
direct
0.2500 0.2500 0.2500
0.7500 0.7500 0.7500
0.0168 0.0168 0.9432
0.4832 0.4832 0.5568
```

***

16.
Below is a relaxed Sc2Te2O crystal, with properties calculated at the GGA-PBE level.

Properties
Its energy above the lowest structure with this stoichiometry is 180 meV/atom. The uncorrected formation energy is -1690.1 meV/atom. The space-group type is Cmc2_1 (36). For the total energy, the calculation gives -6.47 eV per atom.

Geometry as POSCAR:
```
Sc2Te2O
1.0
-2.4375 -0.9322 1.9682
5.1191 0.7603 3.9858
-2.6640 10.1160 1.4920
Sc Te O
4 4 2
direct
0.2090 0.4180 0.0929
0.0341 0.0682 0.9154
0.7910 0.5820 0.5929
0.9659 0.9318 0.4154
0.9014 0.8028 0.1485
0.3472 0.6944 0.8333
0.0986 0.1972 0.6485
0.6528 0.3056 0.3333
0.6223 0.2446 0.9951
0.3777 0.7554 0.4951
```

***

17.
Below is a relaxed Ce3MgIr8 crystal, with properties calculated at the GGA-PBE level.

Properties
The space-group type is R3m (160). For the formation energy, the calculation gives -0.661 eV per atom. For the total energy, the calculation gives -8.19 eV per atom.

Geometry as POSCAR:
```
Ce3MgIr8
1.0
-3.9738 1.3265 -3.3407
-1.4149 -3.3428 -3.9414
-7.5634 -4.5187 2.9054
Ce Mg Ir
3 1 8
direct
0.3764 0.3764 0.8708
0.9964 0.9964 0.0108
0.5028 0.5028 0.4917
0.8728 0.8728 0.3815
0.9383 0.4364 0.1889
0.4390 0.9379 0.6853
0.4364 0.4364 0.1889
0.9379 0.9379 0.6853
0.1880 0.1880 0.4360
0.6877 0.6877 0.9368
0.4364 0.9383 0.1889
0.9379 0.4390 0.6853
```

***

18.
Below is a relaxed LiTb4Nd3S8 crystal, with properties calculated at the GGA-PBE level.

Properties
The uncorrected formation energy is -1968.3 meV/atom. The space-group type is R-3m (166). For the total energy, the calculation gives -6.20 eV per atom.

Geometry as POSCAR:
```
LiTb4Nd3S8
1.0
7.9435 0.0000 0.0000
0.0000 7.9596 0.0061
-3.9718 -3.9680 5.6196
Li Tb Nd S
1 4 3 8
direct
0.0000 0.5000 0.0000
0.5000 0.0000 0.0000
0.5000 0.0000 0.5000
0.0000 0.0000 0.0000
0.0000 0.0000 0.5000
0.5000 0.5000 0.0000
0.5000 0.5000 0.5000
0.0000 0.5000 0.5000
0.2472 0.7557 0.0085
0.2472 0.7557 0.4944
0.2457 0.2370 0.4913
0.7614 0.7557 0.0085
0.2386 0.2443 0.9915
0.7543 0.7630 0.5087
0.7528 0.2443 0.5056
0.7528 0.2443 0.9915
```

***

19.
Below is a relaxed CsRe2AsN crystal, with properties calculated at the GGA-PBE level.

Properties
The uncorrected formation energy is 1396.1 meV/atom. The space-group type is P4/mmm (123). For the total energy, the calculation gives -6.35 eV per atom.

Geometry as POSCAR:
```
CsRe2AsN
1.0
4.0594 0.0000 0.0000
0.0000 6.1428 0.0000
0.0000 0.0000 4.0594
Cs Re As N
1 2 1 1
direct
0.5000 0.5000 0.5000
0.0000 0.0000 0.5000
0.5000 0.0000 0.0000
0.0000 0.5000 0.0000
0.0000 0.0000 0.0000
```

***

20.
Below is a relaxed Ac4Sn5Rh2 crystal, with properties calculated at the GGA-PBE level.

Properties
The space-group type is P2/m (10). For the formation energy, the calculation gives -0.664 eV per atom. For the total energy, the calculation gives -5.31 eV per atom.

Geometry as POSCAR:
```
Ac4Sn5Rh2
1.0
4.5863 0.0000 0.0000
0.0000 7.8474 0.2756
0.0000 -0.4133 9.1710
Ac Sn Rh
4 5 2
direct
0.5000 0.7660 0.5951
0.5000 0.2096 0.8527
0.5000 0.2340 0.4049
0.5000 0.7904 0.1473
0.0000 0.5697 0.3463
0.0000 0.1255 0.1328
0.0000 0.5000 0.0000
0.0000 0.8745 0.8672
0.0000 0.4303 0.6537
0.0000 0.0809 0.6294
0.0000 0.9191 0.3706
```

***

21.
Below is a relaxed DyAl2RhAu crystal, with properties calculated at the GGA-PBE level.

Properties
The space-group type is Cmcm (63). For the formation energy, the calculation gives -0.704 eV per atom. For the total energy, the calculation gives -5.25 eV per atom.

Geometry as POSCAR:
```
DyAl2RhAu
1.0
4.4071 0.0000 0.0000
-2.2036 6.5910 0.0000
0.0000 0.0000 6.5499
Dy Al Rh Au
2 4 2 2
direct
0.4093 0.8185 0.7500
0.5907 0.1815 0.2500
0.1919 0.3839 0.9578
0.8081 0.6161 0.0422
0.1919 0.3839 0.5422
0.8081 0.6161 0.4578
0.6832 0.3664 0.7500
0.3168 0.6336 0.2500
0.0000 0.0000 0.0000
0.0000 0.0000 0.5000
```

***

22.
Below is a relaxed TcRuRh2 crystal, with properties calculated at the GGA-PBE level.

Properties
Its energy above the lowest structure with this stoichiometry is 525 meV/atom. The space-group type is Fm-3m (225). For the formation energy, the calculation gives 0.448 eV per atom. For the total energy, the calculation gives -8.14 eV per atom.

Geometry as POSCAR:
```
TcRuRh2
1.0
-3.4545 0.2684 2.6337
-3.9521 -1.0653 -1.4792
-1.9471 -3.6273 1.4118
Ru Rh Tc
1 2 1
direct
0.5000 0.5000 0.5000
0.2500 0.2500 0.2500
0.7500 0.7500 0.7500
0.0000 0.0000 0.0000
```

***

23.
Below is a relaxed ScPd2Au crystal, with properties calculated at the GGA-PBE level.

Properties
Its energy above the lowest structure with this stoichiometry is 632 meV/atom. The space-group type is Immm (71). For the formation energy, the calculation gives -0.195 eV per atom. For the total energy, the calculation gives -5.19 eV per atom.

Geometry as POSCAR:
```
ScPd2Au
1.0
2.8019 4.7542 -2.3134
-2.8196 -4.6867 -2.4267
-4.8572 -2.5847 2.3519
Sc Pd Au
1 2 1
direct
0.0000 0.0000 0.0000
0.0000 0.2390 0.2390
0.0000 0.7610 0.7610
0.0000 0.5000 0.5000
```

***

24.
Below is a relaxed AlReAs crystal, with properties calculated at the GGA-PBE level.

Properties
Its energy above the lowest structure with this stoichiometry is 46 meV/atom. The space-group type is I4mm (107). For the formation energy, the calculation gives 0.016 eV per atom. For the total energy, the calculation gives -6.93 eV per atom.

Geometry as POSCAR:
```
AlReAs
1.0
4.7709 -0.0093 0.0000
2.5122 4.0559 0.0000
-3.6416 -2.0233 2.3253
Re As Al
1 1 1
direct
0.6677 0.6677 0.0000
0.3296 0.3296 0.0000
0.0027 0.0027 0.0000
```

***

25.
Below is a relaxed TiNbAu crystal, with properties calculated at the GGA-PBE level.

Properties
Its energy above the lowest structure with this stoichiometry is 298 meV/atom. The space-group type is P-6m2 (187). For the formation energy, the calculation gives 0.063 eV per atom. For the total energy, the calculation gives -7.02 eV per atom.

Geometry as POSCAR:
```
TiNbAu
1.0
2.7386 0.0000 0.0000
0.0000 4.7688 0.0000
0.0000 -2.3844 4.1299
Nb Au Ti
1 1 1
direct
0.1668 0.0000 0.0000
0.1666 0.3333 0.6667
0.6666 0.6667 0.3333
```

***

| no. | calculated volume (Å³/f.u.) |
| --- | --- |
| 1 | 59.3 |
| 2 | 125.1 |
| 3 | 51.8 |
| 4 | 398.2 |
| 5 | 83.7 |
| 6 | 154.4 |
| 7 | 122.3 |
| 8 | 167.2 |
| 9 | 80.6 |
| 10 | 83.2 |
| 11 | 267.2 |
| 12 | 451.6 |
| 13 | 374.6 |
| 14 | 68.8 |
| 15 | 56.7 |
| 16 | 109.2 |
| 17 | 217.5 |
| 18 | 355.5 |
| 19 | 101.2 |
| 20 | 330.6 |
| 21 | 95.1 |
| 22 | 58.3 |
| 23 | 74.9 |
| 24 | 45.0 |
| 25 | 53.9 |